(1)
PBE AcY2UO8, relaxed; ΔE_f (raw) = -3.2291 eV/atom
1.0
3.965 -0.026 -0.002
0.037 5.395 -0.006
0.004 0.009 7.821
Ac Y U O
1 2 1 8
Direct
0.000 0.000 0.500
0.500 0.500 0.770
0.500 0.500 0.230
0.000 0.000 0.000
0.000 0.756 0.216
0.500 0.769 0.000
0.000 0.244 0.216
0.000 0.244 0.784
0.500 0.231 0.000
0.000 0.756 0.784
0.500 0.713 0.500
0.500 0.287 0.500

(2)
PBE Ac2UZnO6, relaxed; ΔE_f (raw) = -2.7161 eV/atom
1.0
-3.480 -1.557 4.569
-4.338 -1.996 -3.984
3.467 -7.624 0.044
Ac U Zn O
4 2 2 12
Direct
0.500 0.803 0.235
0.000 0.197 0.735
0.500 0.803 0.765
0.000 0.197 0.265
0.000 0.703 0.500
0.500 0.297 0.000
0.500 0.236 0.500
0.000 0.764 0.000
0.500 0.194 0.256
0.500 0.194 0.744
0.000 0.806 0.244
0.000 0.806 0.756
0.256 0.962 0.500
0.744 0.962 0.500
0.235 0.443 0.500
0.765 0.443 0.500
0.735 0.557 0.000
0.265 0.557 0.000
0.244 0.038 0.000
0.756 0.038 0.000

What is the ΔE_f (raw) in the first record?
-3.2291 eV/atom

ΔE_f (raw) of number 1 (AcY2UO8)?
-3.2291 eV/atom

Look up the ΔE_f (raw) of the second one.
-2.7161 eV/atom

ΔE_f (raw) of number 2 (Ac2UZnO6)?
-2.7161 eV/atom